Compound: Cu2Pt6Rh
Source: the Alexandria database
Functional: PBE
Structure: optimized geometry

Cell: 5.3626 5.3626 19.3989 Å, 90.00 90.00 120.00°
Space group R3m (No. 160, hexagonal axes)
Symmetry-distinct sites (fractional):
1 Cu 0.0000 0.0000 0.0000
2 Cu 0.0000 0.0000 0.2067
3 Pt 0.0013 0.5007 0.2106
4 Pt 0.0046 0.5023 0.9989
5 Rh 0.0000 0.0000 0.7718

- Formation energy: 0.25 eV/atom
- N(E_F): 36.97 states/eV per cell

=====

Compound: Cu4Pt6Rh
Source: the Alexandria database
Functional: PBE
Structure: optimized geometry

Cell: 5.128 5.128 12.903 Å, 90.00 90.00 90.00°
Space group I-42m (No. 121)
Symmetry-distinct sites (fractional):
1 Cu 0.189 0.189 0.366
2 Pt 0.000 0.500 0.000
3 Pt 0.202 0.202 0.173
4 Rh 0.000 0.000 0.000

- Formation energy: 0.19 eV/atom
- N(E_F): 37.47 states/eV per cell

=====

Compound: Cu2PtRh
Source: the Alexandria database
Functional: PBE
Structure: optimized geometry

Cell: 2.796 4.414 8.805 Å, 90.00 90.00 90.00°
Space group Imm2 (No. 44)
Symmetry-distinct sites (fractional):
1 Cu 0.000 0.000 0.000
2 Cu 0.000 0.500 0.266
3 Pt 0.000 0.500 0.752
4 Rh 0.000 0.000 0.513

- Formation energy: 0.02 eV/atom
- N(E_F): 11.18 states/eV per cell

=====

Compound: CuPtRh
Source: the Alexandria database
Functional: PBE
Structure: optimized geometry

Cell: 2.734 3.824 8.124 Å, 90.00 90.00 90.00°
Space group Imm2 (No. 44)
Symmetry-distinct sites (fractional):
1 Cu 0.000 0.000 0.000
2 Pt 0.000 0.000 0.666
3 Rh 0.000 0.000 0.335

- Formation energy: 0.00 eV/atom
- N(E_F): 9.82 states/eV per cell

=====

Compound: Cu3Pt4Rh
Source: the Alexandria database
Functional: PBE
Structure: optimized geometry

Cell: 3.868 3.868 15.184 Å, 90.00 90.00 90.00°
Space group I4/mmm (No. 139)
Symmetry-distinct sites (fractional):
1 Cu 0.000 0.000 0.000
2 Cu 0.000 0.000 0.250
3 Pt 0.000 0.500 0.126
4 Rh 0.000 0.000 0.500

- Formation energy: -0.11 eV/atom
- N(E_F): 13.18 states/eV per cell

=====

Compound: Cu2PtRh
Source: the Alexandria database
Functional: PBE
Structure: optimized geometry

Cell: 6.062 6.062 6.062 Å, 90.00 90.00 90.00°
Space group F-43m (No. 216)
Symmetry-distinct sites (fractional):
1 Cu 0.000 0.000 0.000
2 Cu 0.250 0.250 0.250
3 Pt 0.000 0.000 0.500
4 Rh 0.250 0.250 0.750

- Formation energy: 0.09 eV/atom
- N(E_F): 24.06 states/eV per cell

=====

Compound: CuPt3Rh
Source: the Alexandria database
Functional: PBE
Structure: optimized geometry

Cell: 6.546 6.994 6.883 Å, 90.00 90.00 90.00°
Space group Pnma (No. 62)
Symmetry-distinct sites (fractional):
1 Cu 0.000 0.000 0.000
2 Pt 0.131 0.250 0.287
3 Pt 0.136 0.052 0.650
4 Rh 0.203 0.750 0.430

- Formation energy: 0.14 eV/atom
- N(E_F): 32.69 states/eV per cell

=====

Compound: Cu2PtRh
Source: the Alexandria database
Functional: PBE
Structure: optimized geometry

Cell: 2.7067 2.7067 26.0147 Å, 90.00 90.00 120.00°
Space group R3m (No. 160, hexagonal axes)
Symmetry-distinct sites (fractional):
1 Cu 0.0000 0.0000 0.0000
2 Cu 0.0000 0.0000 0.1698
3 Pt 0.0000 0.0000 0.7517
4 Rh 0.0000 0.0000 0.5847

- Formation energy: -0.03 eV/atom
- N(E_F): 16.05 states/eV per cell

=====

Compound: CuPtRh4
Source: the Alexandria database
Functional: PBE
Structure: optimized geometry

Cell: 7.179 7.179 7.179 Å, 90.00 90.00 90.00°
Space group F-43m (No. 216)
Symmetry-distinct sites (fractional):
1 Cu 0.000 0.000 0.000
2 Pt 0.250 0.250 0.750
3 Rh 0.125 0.125 0.375

- Formation energy: 0.44 eV/atom
- N(E_F): 52.16 states/eV per cell

=====

Compound: CuPtRh
Source: the Alexandria database
Functional: PBE
Structure: optimized geometry

Cell: 2.7342 2.7342 6.5598 Å, 90.00 90.00 120.00°
Space group P3m1 (No. 156)
Symmetry-distinct sites (fractional):
1 Cu 0.0000 0.0000 0.0000
2 Pt 0.6667 0.3333 0.3292
3 Rh 0.3333 0.6667 0.6791

- Formation energy: -0.01 eV/atom
- N(E_F): 4.78 states/eV per cell

=====

Compound: Cu2Pt5Rh
Source: the Alexandria database
Functional: PBE
Structure: optimized geometry

Cell: 5.541 11.099 3.820 Å, 90.00 90.00 90.00°
Space group Pbam (No. 55)
Symmetry-distinct sites (fractional):
1 Cu 0.249 0.125 0.000
2 Pt 0.000 0.000 0.500
3 Pt 0.001 0.748 0.500
4 Pt 0.248 0.377 0.000
5 Rh 0.000 0.500 0.500

- Formation energy: -0.09 eV/atom
- N(E_F): 15.87 states/eV per cell

=====

Compound: CuSbPtRh
Source: the Alexandria database
Functional: PBE
Structure: optimized geometry

Cell: 6.324 6.324 6.324 Å, 90.00 90.00 90.00°
Space group F-43m (No. 216)
Symmetry-distinct sites (fractional):
1 Cu 0.000 0.000 0.000
2 Sb 0.000 0.000 0.500
3 Pt 0.250 0.250 0.750
4 Rh 0.250 0.250 0.250

- Formation energy from raw total energies: -0.1928 eV per atom
- N(E_F): 19.61 states/eV per cell

=====

Compound: Sm2Cu2Pt5Rh
Source: the Alexandria database
Functional: PBE
Structure: optimized geometry

Cell: 9.300 9.300 4.000 Å, 90.00 90.00 90.00°
Space group P4/mbm (No. 127)
Symmetry-distinct sites (fractional):
1 Sm 0.181 0.319 0.000
2 Cu 0.117 0.617 0.000
3 Pt 0.000 0.500 0.500
4 Pt 0.064 0.794 0.500
5 Rh 0.000 0.000 0.000

- Formation energy: -0.66 eV/atom
- N(E_F): 16.67 states/eV per cell

=====

Compound: Sm2CuPt5Rh2
Source: the Alexandria database
Functional: PBE
Structure: optimized geometry

Cell: 9.398 9.398 4.084 Å, 90.00 90.00 90.00°
Space group P4/mbm (No. 127)
Symmetry-distinct sites (fractional):
1 Sm 0.171 0.329 0.000
2 Cu 0.000 0.000 0.000
3 Pt 0.000 0.500 0.500
4 Pt 0.060 0.803 0.500
5 Rh 0.128 0.628 0.000

- Formation energy: -0.59 eV/atom
- N(E_F): 15.05 states/eV per cell

=====

Compound: CuSnPtRh
Source: the Alexandria database
Functional: PBE
Structure: optimized geometry

Cell: 6.297 6.297 6.297 Å, 90.00 90.00 90.00°
Space group F-43m (No. 216)
Symmetry-distinct sites (fractional):
1 Cu 0.000 0.000 0.000
2 Sn 0.000 0.000 0.500
3 Pt 0.250 0.250 0.750
4 Rh 0.250 0.250 0.250

- Formation energy: -0.32 eV/atom
- N(E_F): 9.25 states/eV per cell

=====

Compound: CuTcPtRh
Source: the Alexandria database
Functional: PBE
Structure: optimized geometry

Cell: 6.165 6.165 6.165 Å, 90.00 90.00 90.00°
Space group F-43m (No. 216)
Symmetry-distinct sites (fractional):
1 Cu 0.000 0.000 0.000
2 Tc 0.000 0.000 0.500
3 Pt 0.250 0.250 0.750
4 Rh 0.250 0.250 0.250

- Formation energy: 0.16 eV/atom
- N(E_F): 14.55 states/eV per cell

=====

Compound: ThCuPtRh
Source: the Alexandria database
Functional: PBE
Structure: optimized geometry

Cell: 6.701 6.701 6.701 Å, 90.00 90.00 90.00°
Space group F-43m (No. 216)
Symmetry-distinct sites (fractional):
1 Th 0.000 0.000 0.000
2 Cu 0.000 0.000 0.500
3 Pt 0.250 0.250 0.250
4 Rh 0.250 0.250 0.750

- Formation energy: -0.58 eV/atom
- N(E_F): 12.33 states/eV per cell

=====

Compound: Th2CuPtRh
Source: the Alexandria database
Functional: PBE
Structure: optimized geometry

Cell: 7.235 4.172 7.537 Å, 90.00 105.25 90.00°
Space group P2_1/m (No. 11)
Symmetry-distinct sites (fractional):
1 Th 0.148 0.250 0.362
2 Th 0.291 0.250 0.924
3 Cu 0.461 0.750 0.358
4 Pt 0.284 0.750 0.649
5 Rh 0.135 0.750 0.092

- Formation energy: -0.80 eV/atom
- N(E_F): 5.25 states/eV per cell

=====

Compound: ThCuPtRh
Source: the Alexandria database
Functional: PBE
Structure: optimized geometry

Cell: 3.966 4.144 4.397 Å, 90.00 90.00 90.00°
Space group Pmmm (No. 47)
Symmetry-distinct sites (fractional):
1 Th 0.000 0.000 0.000
2 Cu 0.000 0.500 0.500
3 Pt 0.500 0.000 0.500
4 Rh 0.500 0.500 0.000

- Formation energy: -0.75 eV/atom
- N(E_F): 0.55 states/eV per cell

=====

Compound: TiCuPtRh
Source: the Alexandria database
Functional: PBE
Structure: optimized geometry

Cell: 6.115 6.115 6.115 Å, 90.00 90.00 90.00°
Space group F-43m (No. 216)
Symmetry-distinct sites (fractional):
1 Ti 0.000 0.000 0.000
2 Cu 0.000 0.000 0.500
3 Pt 0.250 0.250 0.750
4 Rh 0.250 0.250 0.250

- Formation energy: -0.63 eV/atom
- N(E_F): 4.63 states/eV per cell

=====

no.,calculated total energy (eV for the cell shown)
1,-148.60
2,-115.75
3,-43.00
4,-35.00
5,-89.42
6,-84.95
7,-115.49
8,-65.11
9,-147.51
10,-17.52
11,-92.95
12,-89.53
13,-123.48
14,-128.76
15,-91.12
16,-108.81
17,-108.87
18,-72.64
19,-27.92
20,-111.67